MnInFeBr2: relaxed, PBE-GGA.

Output
The calculation puts the calculated total energy at -4.357 eV per atom. The value obtained for the density is 4.88 Mg/m³. The value obtained for the total magnetic moment is 1.421 μB per atom. The symmetry is P4/mmm.

Unit cell a=5.095 b=5.095 c=5.047 alpha=90.00 beta=90.00 gamma=90.00
Atoms (fractional coordinates):
Mn (0.000, 0.000, 0.000)
In (0.500, 0.500, 0.500)
Fe (0.000, 0.000, 0.500)
Br (0.000, 0.500, 0.000)
Br (0.500, 0.000, 0.000)

=====

Te4Mo3S2: relaxed, PBE-GGA.

Output
The calculation puts the calculated total energy at -6.333 eV per atom. The value obtained for the density is 6.21 Mg/m³. The value obtained for the total magnetic moment is 0.000 μB per atom. The symmetry is P3m1.

Unit cell a=3.421 b=3.421 c=22.764 alpha=90.00 beta=90.00 gamma=120.00
Atoms (fractional coordinates):
Te (0.000, 0.000, 0.000)
Te (0.000, 0.000, 0.164)
Te (0.333, 0.667, 0.338)
Te (0.333, 0.667, 0.502)
Mo (0.000, 0.000, 0.420)
Mo (0.000, 0.000, 0.769)
Mo (0.333, 0.667, 0.082)
S (0.333, 0.667, 0.704)
S (0.333, 0.667, 0.835)

=====

YP2SBr: relaxed, PBE-GGA.

Output
The calculation puts the calculated total energy at -4.171 eV per atom. The value obtained for the density is 2.87 Mg/m³. The value obtained for the total magnetic moment is 0.118 μB per atom. The symmetry is P4/mmm. The polymorph energy (0 for the lowest one) comes out at 0.23 kcal/mol of atoms.

Unit cell a=5.464 b=5.464 c=5.088 alpha=90.00 beta=90.00 gamma=90.00
Atoms (fractional coordinates):
Y (0.000, 0.000, 0.000)
P (0.000, 0.500, 0.000)
P (0.500, 0.000, 0.000)
S (0.000, 0.000, 0.500)
Br (0.500, 0.500, 0.500)

=====

Sm12DyHo6: relaxed, PBE-GGA.

Output
As for the calculated formation energy: 0.243 eV per atom. The calculation puts the calculated total energy at -4.426 eV per atom. The value obtained for the density is 7.52 Mg/m³. The value obtained for the total magnetic moment is 0.000 μB per atom. The symmetry is R-3. The polymorph energy (0 for the lowest one) comes out at 2.32 kcal/mol of atoms.

Unit cell a=9.186 b=9.186 c=9.186 alpha=106.60 beta=106.60 gamma=106.60
Atoms (fractional coordinates):
Sm (0.134, 0.827, 0.278)
Sm (0.173, 0.722, 0.866)
Sm (0.192, 0.581, 0.484)
Sm (0.278, 0.134, 0.827)
Sm (0.419, 0.516, 0.808)
Sm (0.484, 0.192, 0.581)
Sm (0.516, 0.808, 0.419)
Sm (0.581, 0.484, 0.192)
Sm (0.722, 0.866, 0.173)
Sm (0.808, 0.419, 0.516)
Sm (0.827, 0.278, 0.134)
Sm (0.866, 0.173, 0.722)
Dy (0.000, 0.000, 0.000)
Ho (0.078, 0.190, 0.455)
Ho (0.190, 0.455, 0.078)
Ho (0.455, 0.078, 0.190)
Ho (0.545, 0.922, 0.810)
Ho (0.810, 0.545, 0.922)
Ho (0.922, 0.810, 0.545)

=====

CdP2PbCl: relaxed, PBE-GGA.

Output
The calculation puts the calculated total energy at -2.728 eV per atom. The value obtained for the density is 4.30 Mg/m³. The value obtained for the total magnetic moment is 0.358 μB per atom. The symmetry is P4/mmm. The polymorph energy (0 for the lowest one) comes out at 5.95 kcal/mol of atoms.

Unit cell a=5.442 b=5.442 c=5.443 alpha=90.00 beta=90.00 gamma=90.00
Atoms (fractional coordinates):
Cd (0.000, 0.000, 0.000)
P (0.000, 0.500, 0.500)
P (0.500, 0.000, 0.500)
Pb (0.500, 0.500, 0.500)
Cl (0.500, 0.500, 0.000)

=====

Dy3Tl2Rh: relaxed, PBE-GGA.

Output
As for the calculated formation energy: -0.498 eV per atom. The calculation puts the calculated total energy at -4.813 eV per atom. The value obtained for the density is 11.09 Mg/m³. The value obtained for the total magnetic moment is 0.000 μB per atom. The symmetry is Cmmm. The polymorph energy (0 for the lowest one) comes out at 0.00 kcal/mol of atoms.

Unit cell a=8.123 b=8.123 c=7.588 alpha=90.00 beta=90.00 gamma=143.29
Atoms (fractional coordinates):
Dy (0.000, 0.000, 0.236)
Dy (0.000, 0.000, 0.764)
Dy (0.324, 0.676, 0.217)
Dy (0.324, 0.676, 0.783)
Dy (0.676, 0.324, 0.217)
Dy (0.676, 0.324, 0.783)
Tl (0.167, 0.833, 0.500)
Tl (0.500, 0.500, 0.000)
Tl (0.500, 0.500, 0.500)
Tl (0.833, 0.167, 0.500)
Rh (0.151, 0.849, 0.000)
Rh (0.849, 0.151, 0.000)

=====

What is the density in the sixth record?
11.09 Mg/m³